Entry 1:
Compound: CeMgGa4Au2
Source: Alexandria
Functional: PBE-GGA
Structure: relaxed

a = 4.5028 Å, b = 4.5028 Å, c = 9.2831 Å
α = 75.96°, β = 75.96°, γ = 60.00°
Closest atoms and distances in Å follow each position.
Atoms (fractional coordinates):
Ce1 0.0000 0.0000 0.0000  8 Ga 3.03-3.30
Mg1 0.5000 0.5000 0.5000  8 Ga 2.85-2.89
Ga1 0.3918 0.3918 0.8247  3 Au 2.76, 1 Mg 2.89, 3 Ce 3.03
Ga2 0.8767 0.8767 0.3699  3 Au 2.72, 3 Mg 2.85
Ga3 0.1233 0.1233 0.6301  3 Au 2.72, 3 Mg 2.85
Ga4 0.6082 0.6082 0.1753  3 Au 2.76, 1 Mg 2.89, 3 Ce 3.03
Au1 0.7596 0.7596 0.7211  6 Ga 2.72-2.76
Au2 0.2404 0.2404 0.2789  6 Ga 2.72-2.76

Results
SG: R-3m (166)
volume: 19.56 Å³ per atom
electronic total energy: -3.626 eV/atom
ΔE_f: -352 meV/atom



Entry 2:
Compound: Zr2CdMo
Source: Alexandria
Functional: PBE-GGA
Structure: relaxed

a = 3.0295 Å, b = 3.0295 Å, c = 9.4451 Å
α = 90.00°, β = 90.00°, γ = 108.80°
Closest atoms and distances in Å follow each position.
Atoms (fractional coordinates):
Cd1 0.5000 0.5000 0.2500  4 Cd 3.03, 4 Zr 3.13
Mo1 0.5000 0.5000 0.7500  4 Zr 2.77, 4 Mo 3.03
Zr1 0.0000 0.0000 0.9759  2 Mo 2.77, 4 Zr 3.03
Zr2 0.0000 0.0000 0.5241  2 Mo 2.77, 4 Zr 3.03

Results
SG: Cmmm (65)
volume: 20.52 Å³ per atom
electronic total energy: -7.227 eV/atom
ΔE_f: -16 meV/atom



Entry 3:
Compound: Cd2SnRh
Source: Alexandria
Functional: PBE-GGA
Structure: relaxed

a = 2.9841 Å, b = 2.9841 Å, c = 11.5435 Å
α = 82.57°, β = 82.57°, γ = 60.00°
Closest atoms and distances in Å follow each position.
Atoms (fractional coordinates):
Rh1 0.0000 0.0000 0.0000  2 Cd 2.69, 6 Rh 2.98
Sn1 0.5000 0.5000 0.5000  6 Sn 2.98
Cd1 0.0786 0.0786 0.7643  1 Rh 2.69, 6 Cd 2.98
Cd2 0.9214 0.9214 0.2357  1 Rh 2.69, 6 Cd 2.98

Results
SG: R-3m (166)
volume: 22.01 Å³ per atom
electronic total energy: -2.924 eV/atom
ΔE_f: 372 meV/atom



Entry 4:
Compound: Co2SbSe
Source: Alexandria
Functional: PBE-GGA
Structure: relaxed

a = 5.4509 Å, b = 5.4509 Å, c = 6.6865 Å
α = 65.95°, β = 65.95°, γ = 90.00°
Closest atoms and distances in Å follow each position.
Atoms (fractional coordinates):
Sb1 0.0000 0.0000 0.0000  4 Co 2.48
Sb2 0.7500 0.2500 0.5000  4 Co 2.48
Co1 0.5887 0.1250 0.2500  2 Se 2.25, 2 Sb 2.48
Co2 0.1613 0.6250 0.2500  2 Se 2.25, 2 Sb 2.48
Co3 0.3750 0.4113 0.7500  2 Se 2.25, 2 Sb 2.48
Co4 0.8750 0.8387 0.7500  2 Se 2.25, 2 Sb 2.48
Se1 0.5000 0.5000 0.0000  4 Co 2.25
Se2 0.2500 0.7500 0.5000  4 Co 2.25

Results
SG: I-42d (122)
volume: 20.29 Å³ per atom
electronic total energy: -5.324 eV/atom
energy relative to the elements, uncorrected: 0.130 eV per atom



Entry 5:
Compound: ZrAl2P
Source: Alexandria
Functional: PBE-GGA
Structure: relaxed

a = 5.1207 Å, b = 5.3184 Å, c = 3.0727 Å
α = 80.28°, β = 75.57°, γ = 114.17°
Closest atoms and distances in Å follow each position.
Atoms (fractional coordinates):
P1 0.0000 0.5000 0.5000  2 Zr 2.64, 4 Al 2.84
Al1 0.0000 0.0000 0.0000  2 Al 2.64, 2 P 2.84, 2 Zr 2.84
Al2 0.5000 0.0000 0.5000  2 Al 2.64, 2 Zr 2.84, 2 P 2.84
Zr1 0.5000 0.5000 0.0000  2 P 2.64, 4 Al 2.84

Results
SG: C2/m (12)
volume: 17.59 Å³ per atom
electronic total energy: -5.566 eV/atom
ΔE_f: -205 meV/atom



Entry 6:
Compound: Zn2InTc
Source: Alexandria
Functional: PBE-GGA
Structure: relaxed

a = 7.2249 Å, b = 7.2249 Å, c = 5.7896 Å
α = 51.39°, β = 51.39°, γ = 90.00°
Closest atoms and distances in Å follow each position.
Atoms (fractional coordinates):
Zn1 0.6069 0.1250 0.2500  2 Tc 2.56, 2 In 2.73, 2 Zn 2.74
Zn2 0.1431 0.6250 0.2500  2 Tc 2.56, 2 In 2.73, 2 Zn 2.74
Zn3 0.3750 0.3931 0.7500  2 Tc 2.56, 2 In 2.73, 2 Zn 2.74
Zn4 0.8750 0.8569 0.7500  2 Tc 2.56, 2 In 2.73, 2 Zn 2.74
Tc1 0.5000 0.5000 0.0000  4 Zn 2.56, 2 In 2.72
Tc2 0.2500 0.7500 0.5000  4 Zn 2.56, 2 In 2.72
In1 0.0000 0.0000 0.0000  2 Tc 2.72, 4 Zn 2.73
In2 0.7500 0.2500 0.5000  2 Tc 2.72, 4 Zn 2.73

Results
SG: I-42d (122)
volume: 17.77 Å³ per atom
electronic total energy: -3.503 eV/atom
ΔE_f: 411 meV/atom



Entry 7:
Compound: La3RuAu
Source: Alexandria
Functional: PBE-GGA
Structure: relaxed

a = 7.5190 Å, b = 7.5190 Å, c = 7.5190 Å
α = 62.84°, β = 62.84°, γ = 62.84°
Closest atoms and distances in Å follow each position.
Atoms (fractional coordinates):
Ru1 0.2500 0.2500 0.2500  3 La 2.59
Ru2 0.7500 0.7500 0.7500  3 La 2.59
Au1 0.0000 0.0000 0.0000  6 La 3.02
Au2 0.5000 0.5000 0.5000  6 La 3.02
La1 0.9199 0.5801 0.2500  1 Ru 2.59
La2 0.5801 0.2500 0.9199  1 Ru 2.59
La3 0.2500 0.9199 0.5801  1 Ru 2.59
La4 0.7500 0.0801 0.4199  1 Ru 2.59
La5 0.4199 0.7500 0.0801  1 Ru 2.59
La6 0.0801 0.4199 0.7500  1 Ru 2.59

Results
SG: R-3c (167)
volume: 31.95 Å³ per atom
electronic total energy: -5.719 eV/atom
ΔE_f: -252 meV/atom
energy above the lowest structure with this stoichiometry: 235 meV per atom



Entry 8:
Compound: GaNi4Rh4
Source: Alexandria
Functional: PBE-GGA
Structure: relaxed

a = 3.7750 Å, b = 5.8341 Å, c = 5.8341 Å
α = 83.99°, β = 71.12°, γ = 71.12°
Closest atoms and distances in Å follow each position.
Atoms (fractional coordinates):
Ga1 0.0000 0.0000 0.0000  4 Rh 2.55, 8 Ni 2.64
Ni1 0.3329 0.3342 0.0000  6 Rh 2.60-2.61, 4 Ni 2.61-2.63, 2 Ga 2.64
Ni2 0.6671 0.6658 0.0000  6 Rh 2.60-2.61, 4 Ni 2.61-2.63, 2 Ga 2.64
Ni3 0.6671 0.0000 0.6658  6 Rh 2.60-2.61, 4 Ni 2.61-2.63, 2 Ga 2.64
Ni4 0.3329 0.0000 0.3342  6 Rh 2.60-2.61, 4 Ni 2.61-2.63, 2 Ga 2.64
Rh1 0.0000 0.6729 0.3271  1 Ga 2.55, 6 Ni 2.60-2.61, 5 Rh 2.68-2.70
Rh2 0.0000 0.3271 0.6729  1 Ga 2.55, 6 Ni 2.60-2.61, 5 Rh 2.68-2.70
Rh3 0.6729 0.3271 0.3271  1 Ga 2.55, 6 Ni 2.60-2.61, 5 Rh 2.68-2.70
Rh4 0.3271 0.6729 0.6729  1 Ga 2.55, 6 Ni 2.60-2.61, 5 Rh 2.68-2.70

Results
SG: I4/mmm (139)
volume: 12.78 Å³ per atom
electronic total energy: -6.271 eV/atom
ΔE_f: -98 meV/atom



Entry 9:
Compound: Sr2DySn3Ir4
Source: Alexandria
Functional: PBE-GGA
Structure: relaxed

a = 4.4756 Å, b = 4.4756 Å, c = 11.6070 Å
α = 90.00°, β = 90.00°, γ = 90.00°
Closest atoms and distances in Å follow each position.
Atoms (fractional coordinates):
Sr1 0.5000 0.0000 0.2341  6 Sn 3.41-3.81, 8 Ir 3.47-3.52, 2 Dy 3.81
Sr2 0.0000 0.5000 0.7659  6 Sn 3.41-3.81, 8 Ir 3.47-3.52, 2 Dy 3.81
Dy1 0.5000 0.5000 0.5000  4 Ir 2.79
Sn1 0.0000 0.0000 0.5000  4 Ir 2.79
Sn2 0.5000 0.0000 0.8755  5 Ir 2.66-2.70
Sn3 0.0000 0.5000 0.1245  5 Ir 2.66-2.70
Ir1 0.5000 0.5000 0.0000  4 Sn 2.66
Ir2 0.0000 0.0000 0.0000  4 Sn 2.66
Ir3 0.5000 0.0000 0.6430  3 Sn 2.70-2.79, 2 Dy 2.79
Ir4 0.0000 0.5000 0.3570  3 Sn 2.70-2.79, 2 Dy 2.79

Results
SG: P-4m2 (115)
volume: 23.25 Å³ per atom
electronic total energy: -6.081 eV/atom
ΔE_f: -539 meV/atom



Entry 10:
Compound: NpSi3Rh3
Source: Alexandria
Functional: PBE-GGA
Structure: relaxed

a = 4.1678 Å, b = 8.2424 Å, c = 8.2424 Å
α = 120.00°, β = 90.00°, γ = 90.00°
Closest atoms and distances in Å follow each position.
Atoms (fractional coordinates):
Np1 0.7500 0.3333 0.6667  9 Si 2.89-2.99, 3 Rh 3.21
Np2 0.2500 0.6667 0.3333  9 Si 2.89-2.99, 3 Rh 3.21
Si1 0.7500 0.9449 0.3742  4 Rh 2.34-2.44
Si2 0.7500 0.4293 0.0551  4 Rh 2.34-2.44
Si3 0.7500 0.6258 0.5707  4 Rh 2.34-2.44
Si4 0.2500 0.0551 0.6258  4 Rh 2.34-2.44
Si5 0.2500 0.5707 0.9449  4 Rh 2.34-2.44
Si6 0.2500 0.3742 0.4293  4 Rh 2.34-2.44
Rh1 0.7500 0.7252 0.0540  4 Si 2.34-2.44
Rh2 0.7500 0.3288 0.2748  4 Si 2.34-2.44
Rh3 0.7500 0.9460 0.6712  4 Si 2.34-2.44
Rh4 0.2500 0.2748 0.9460  4 Si 2.34-2.44
Rh5 0.2500 0.6712 0.7252  4 Si 2.34-2.44
Rh6 0.2500 0.0540 0.3288  4 Si 2.34-2.44

Results
SG: P6_3/m (176)
volume: 17.52 Å³ per atom
electronic total energy: -7.809 eV/atom
energy relative to the elements, uncorrected: -0.485 eV per atom
energy above the lowest structure with this stoichiometry: 0 meV per atom



Entry 11:
Compound: CoBr4Cl
Source: Alexandria
Functional: PBE-GGA
Structure: relaxed

a = 6.0854 Å, b = 6.0854 Å, c = 6.0854 Å
α = 60.00°, β = 60.00°, γ = 60.00°
Closest atoms and distances in Å follow each position.
Atoms (fractional coordinates):
Co1 0.0000 0.0000 0.0000  12 Br 3.57, 4 Cl 3.73
Br1 0.3751 0.8746 0.3751  6 Br 3.04-3.05
Br2 0.8746 0.3751 0.3751  6 Br 3.04-3.05
Br3 0.3751 0.3751 0.8746  6 Br 3.04-3.05
Br4 0.3751 0.3751 0.3751  6 Br 3.04-3.05
Cl1 0.7500 0.7500 0.7500  12 Br 3.57, 4 Co 3.73

Results
SG: F-43m (216)
volume: 26.56 Å³ per atom
electronic total energy: -1.669 eV/atom
energy relative to the elements, uncorrected: 0.938 eV per atom



Entry 12:
Compound: SmY2Pd
Source: Alexandria
Functional: PBE-GGA
Structure: relaxed

a = 3.7048 Å, b = 3.7048 Å, c = 10.0583 Å
α = 79.39°, β = 79.39°, γ = 60.00°
Closest atoms and distances in Å follow each position.
Atoms (fractional coordinates):
Y1 0.2683 0.2683 0.1952  3 Pd 2.87
Y2 0.7317 0.7317 0.8048  3 Pd 2.87
Pd1 0.0000 0.0000 0.0000  6 Y 2.87
Sm1 0.5000 0.5000 0.5000  6 Y 3.68, 6 Sm 3.70

Results
SG: R-3m (166)
volume: 29.21 Å³ per atom
electronic total energy: -5.997 eV/atom
ΔE_f: -287 meV/atom
energy above the lowest structure with this stoichiometry: 171 meV per atom